(1)
## Li2PrZnF8 (PBE-GGA)

Data for Li2PrZnF8 after structural relaxation. Values from VASP.

Quantum ESPRESSO input file:
```
&SYSTEM
  ibrav = 0, nat = 12, ntyp = 4
/
ATOMIC_SPECIES
Li 6.94 Li.upf
Pr 140.91 Pr.upf
Zn 65.41 Zn.upf
F 19.00 F.upf
ATOMIC_POSITIONS crystal
Li 0.3333 0.6667 0.2502
Li 0.6667 0.3333 0.7498
Pr 0.0000 0.0000 0.0000
Zn 0.0000 0.0000 0.5000
F 0.1507 0.3013 0.2883
F 0.1507 0.8493 0.2883
F 0.3013 0.1507 0.7117
F 0.3333 0.6667 0.9610
F 0.6667 0.3333 0.0390
F 0.6987 0.8493 0.2883
F 0.8493 0.1507 0.7117
F 0.8493 0.6987 0.7117
CELL_PARAMETERS angstrom
5.7260 0.0000 0.0000
-2.8630 4.9589 0.0000
0.0000 0.0000 6.4701
```

Properties
Formation energy from raw total energies: -2.752 eV/atom
Raw total energy: -57.87 eV per cell
Space-group type: No. 164
Total magnetization: 1.07 μB per cell
DOS at the Fermi energy: 0.860 states/eV per atom

(2)
## LiPtF2 (PBE-GGA)

Data for LiPtF2 after structural relaxation. Values from VASP.

Quantum ESPRESSO input file:
```
&SYSTEM
  ibrav = 0, nat = 4, ntyp = 3
/
ATOMIC_SPECIES
Li 6.94 Li.upf
Pt 195.08 Pt.upf
F 19.00 F.upf
ATOMIC_POSITIONS crystal
Li 0.0000 0.0000 0.0000
Pt 0.5000 0.5000 0.5000
F 0.3918 0.3918 0.3918
F 0.6082 0.6082 0.6082
CELL_PARAMETERS angstrom
1.4312 0.8263 6.2469
-1.4312 0.8263 6.2469
0.0000 -1.6526 6.2469
```

Properties
Formation energy from raw total energies: -1.853 eV/atom
Raw total energy: -19.11 eV per cell
Space-group type: No. 166
Total magnetization: 0.00 μB per cell
DOS at the Fermi energy: 0.189 states/eV per atom

(3)
## LiPtF (PBE-GGA)

Data for LiPtF after structural relaxation. Values from VASP.

Quantum ESPRESSO input file:
```
&SYSTEM
  ibrav = 0, nat = 12, ntyp = 3
/
ATOMIC_SPECIES
Li 6.94 Li.upf
Pt 195.08 Pt.upf
F 19.00 F.upf
ATOMIC_POSITIONS crystal
Li 0.1856 0.2500 0.1451
Li 0.3144 0.7500 0.6451
Li 0.6856 0.2500 0.3549
Li 0.8144 0.7500 0.8549
Pt 0.0053 0.2500 0.6251
Pt 0.4947 0.7500 0.1251
Pt 0.5053 0.2500 0.8749
Pt 0.9947 0.7500 0.3749
F 0.0000 0.0000 0.0000
F 0.0000 0.5000 0.0000
F 0.5000 0.0000 0.5000
F 0.5000 0.5000 0.5000
CELL_PARAMETERS angstrom
6.9461 0.0000 0.0000
0.0000 4.5334 0.0000
0.0000 0.0000 5.2593
```

Properties
Formation energy from raw total energies: -0.976 eV/atom
Raw total energy: -51.02 eV per cell
Space-group type: No. 62
Total magnetization: 0.00 μB per cell
DOS at the Fermi energy: 0.002 states/eV per atom

| no. | volume (Å³/f.u.) |
| --- | --- |
| 1 | 183.7 |
| 2 | 44.3 |
| 3 | 41.4 |